No. 1
! LaMnP2 | Alexandria | PBE-GGA | relaxed; values from VASP
&SYSTEM
  ibrav = 0, nat = 4, ntyp = 3
/
ATOMIC_SPECIES
La 138.91 La.upf
Mn 54.94 Mn.upf
P 30.97 P.upf
CELL_PARAMETERS angstrom
1.986 1.147 5.067
-1.986 1.147 5.067
0.000 -2.294 5.067
ATOMIC_POSITIONS angstrom
La 0.000 0.000 0.000
Mn 0.000 0.000 7.601
P 0.000 0.000 3.141
P 0.000 0.000 12.061
! space-group type: No. 166
! mass density: 6.13 g cm⁻³
! calculated formation energy: -0.83 eV per atom
! E_tot: -7.0631 eV/atom


No. 2
! LaMnP2 | Alexandria | PBE-GGA | relaxed; values from VASP
&SYSTEM
  ibrav = 0, nat = 4, ntyp = 3
/
ATOMIC_SPECIES
La 138.91 La.upf
Mn 54.94 Mn.upf
P 30.97 P.upf
CELL_PARAMETERS angstrom
2.052 -2.954 0.000
2.052 2.954 0.000
0.000 0.000 6.621
ATOMIC_POSITIONS angstrom
La 0.000 0.000 0.000
Mn 0.000 0.000 3.310
P 2.052 0.000 2.015
P 2.052 0.000 4.606
! space-group type: No. 65
! mass density: 5.29 g cm⁻³
! calculated formation energy: -0.51 eV per atom
! E_tot: -6.7391 eV/atom


No. 3
! LaMn2P | Alexandria | PBE-GGA | relaxed; values from VASP
&SYSTEM
  ibrav = 0, nat = 4, ntyp = 3
/
ATOMIC_SPECIES
La 138.91 La.upf
Mn 54.94 Mn.upf
P 30.97 P.upf
CELL_PARAMETERS angstrom
-2.133 2.532 3.218
2.133 -2.532 3.218
2.133 2.532 -3.218
ATOMIC_POSITIONS angstrom
La 0.000 0.000 0.000
Mn 2.133 0.000 1.983
Mn 0.000 2.532 1.235
P 0.000 0.000 3.218
! space-group type: No. 71
! mass density: 6.68 g cm⁻³
! calculated formation energy: 0.06 eV per atom
! E_tot: -7.1136 eV/atom


No. 4
! LaMnP2 | Alexandria | PBE-GGA | relaxed; values from VASP
&SYSTEM
  ibrav = 0, nat = 4, ntyp = 3
/
ATOMIC_SPECIES
La 138.91 La.upf
Mn 54.94 Mn.upf
P 30.97 P.upf
CELL_PARAMETERS angstrom
0.000 3.362 3.362
3.362 0.000 3.362
3.362 3.362 0.000
ATOMIC_POSITIONS angstrom
La 0.000 0.000 0.000
Mn 5.043 5.043 5.043
P 1.681 1.681 1.681
P 3.362 3.362 3.362
! space-group type: No. 216
! mass density: 5.59 g cm⁻³
! calculated formation energy: 0.03 eV per atom
! E_tot: -6.2021 eV/atom


No. 5
! La2Mn2P | Alexandria | PBE-GGA | relaxed; values from VASP
&SYSTEM
  ibrav = 0, nat = 5, ntyp = 3
/
ATOMIC_SPECIES
La 138.91 La.upf
Mn 54.94 Mn.upf
P 30.97 P.upf
CELL_PARAMETERS angstrom
-2.807 2.807 3.586
2.807 -2.807 3.586
2.807 2.807 -3.586
ATOMIC_POSITIONS angstrom
La 2.807 0.000 1.793
La 0.000 2.807 1.793
Mn 0.000 0.000 1.271
Mn 0.000 0.000 5.901
P 0.000 0.000 3.586
! space-group type: No. 139
! mass density: 6.15 g cm⁻³
! calculated formation energy: 0.05 eV per atom
! polymorph energy (0 for the lowest one): 137 meV/atom
! E_tot: -6.6703 eV/atom


No. 6
! La2MnP | Alexandria | PBE-GGA | relaxed; values from VASP
&SYSTEM
  ibrav = 0, nat = 4, ntyp = 3
/
ATOMIC_SPECIES
La 138.91 La.upf
Mn 54.94 Mn.upf
P 30.97 P.upf
CELL_PARAMETERS angstrom
-1.899 2.193 5.753
1.899 -2.193 5.753
1.899 2.193 -5.753
ATOMIC_POSITIONS angstrom
La 0.000 0.000 0.000
La 0.000 2.193 2.651
Mn 1.899 0.000 3.276
P 0.000 0.000 4.780
! space-group type: No. 44
! mass density: 6.30 g cm⁻³
! calculated formation energy: -0.50 eV per atom
! E_tot: -6.6071 eV/atom


No. 7
! LaMn4P12 | Alexandria | PBE-GGA | relaxed; values from VASP
&SYSTEM
  ibrav = 0, nat = 17, ntyp = 3
/
ATOMIC_SPECIES
La 138.91 La.upf
Mn 54.94 Mn.upf
P 30.97 P.upf
CELL_PARAMETERS angstrom
-3.981 3.981 3.981
3.981 -3.981 3.981
3.981 3.981 -3.981
ATOMIC_POSITIONS angstrom
La 0.000 0.000 0.000
Mn 1.991 1.991 -1.991
Mn 1.991 -1.991 1.991
Mn -1.991 1.991 1.991
Mn 1.991 1.991 1.991
P 2.819 1.178 0.000
P 5.144 1.178 0.000
P 3.981 -1.162 2.803
P 2.803 3.981 -1.162
P 1.178 0.000 2.819
P 3.981 1.162 2.803
P 0.000 2.819 1.178
P 2.803 3.981 1.162
P 1.178 0.000 5.144
P 0.000 5.144 1.178
P -1.162 2.803 3.981
P 1.162 2.803 3.981
! space-group type: No. 204
! mass density: 4.80 g cm⁻³
! calculated formation energy: -0.49 eV per atom
! E_tot: -6.7517 eV/atom


No. 8
! LaMnP4 | Alexandria | PBE-GGA | relaxed; values from VASP
&SYSTEM
  ibrav = 0, nat = 6, ntyp = 3
/
ATOMIC_SPECIES
La 138.91 La.upf
Mn 54.94 Mn.upf
P 30.97 P.upf
CELL_PARAMETERS angstrom
0.000 3.777 3.777
3.777 0.000 3.777
3.777 3.777 0.000
ATOMIC_POSITIONS angstrom
La 0.000 0.000 0.000
Mn 5.666 5.666 5.666
P 2.911 2.911 2.911
P 4.644 4.644 2.911
P 4.644 2.911 4.644
P 2.911 4.644 4.644
! space-group type: No. 216
! mass density: 4.89 g cm⁻³
! calculated formation energy: 0.04 eV per atom
! E_tot: -5.9198 eV/atom


No. 9
! LaMnP2 | Alexandria | PBE-GGA | relaxed; values from VASP
&SYSTEM
  ibrav = 0, nat = 4, ntyp = 3
/
ATOMIC_SPECIES
La 138.91 La.upf
Mn 54.94 Mn.upf
P 30.97 P.upf
CELL_PARAMETERS angstrom
3.068 -3.496 0.000
3.068 3.496 0.000
-0.013 0.000 3.726
ATOMIC_POSITIONS angstrom
La 0.000 0.000 0.000
Mn 3.068 0.000 0.000
P 1.528 1.748 1.863
P 1.528 -1.748 1.863
! space-group type: No. 12
! mass density: 5.31 g cm⁻³
! calculated formation energy: -0.38 eV per atom
! E_tot: -6.6085 eV/atom


No. 10
! La2MnP4Pd3 | Alexandria | PBE-GGA | relaxed; values from VASP
&SYSTEM
  ibrav = 0, nat = 10, ntyp = 4
/
ATOMIC_SPECIES
La 138.91 La.upf
Mn 54.94 Mn.upf
P 30.97 P.upf
Pd 106.42 Pd.upf
CELL_PARAMETERS angstrom
4.316 0.000 0.000
0.000 4.316 0.000
0.000 0.000 9.697
ATOMIC_POSITIONS angstrom
La 0.000 2.158 2.331
La 2.158 0.000 7.366
Mn 0.000 0.000 4.849
P 0.000 0.000 0.000
P 0.000 2.158 6.116
P 2.158 0.000 3.582
P 2.158 2.158 0.000
Pd 0.000 2.158 8.582
Pd 2.158 0.000 1.115
Pd 2.158 2.158 4.849
! space-group type: No. 115
! mass density: 7.13 g cm⁻³
! calculated formation energy: -0.93 eV per atom
! E_tot: -6.5547 eV/atom


No. 11
! La2MnP4Pt3 | Alexandria | PBE-GGA | relaxed; values from VASP
&SYSTEM
  ibrav = 0, nat = 10, ntyp = 4
/
ATOMIC_SPECIES
La 138.91 La.upf
Mn 54.94 Mn.upf
P 30.97 P.upf
Pt 195.08 Pt.upf
CELL_PARAMETERS angstrom
4.237 0.000 0.000
0.000 4.237 0.000
0.000 0.000 9.755
ATOMIC_POSITIONS angstrom
La 0.000 2.118 2.416
La 2.118 0.000 7.339
Mn 0.000 0.000 4.877
P 0.000 0.000 0.000
P 0.000 2.118 6.122
P 2.118 0.000 3.633
P 2.118 2.118 0.000
Pt 0.000 2.118 8.603
Pt 2.118 0.000 1.152
Pt 2.118 2.118 4.877
! space-group type: No. 115
! mass density: 9.88 g cm⁻³
! calculated formation energy: -0.96 eV per atom
! E_tot: -6.8435 eV/atom


No. 12
! La2MnPPt | Alexandria | PBE-GGA | relaxed; values from VASP
&SYSTEM
  ibrav = 0, nat = 5, ntyp = 4
/
ATOMIC_SPECIES
La 138.91 La.upf
Mn 54.94 Mn.upf
P 30.97 P.upf
Pt 195.08 Pt.upf
CELL_PARAMETERS angstrom
5.577 0.000 0.000
0.000 5.577 0.000
0.000 0.000 4.104
ATOMIC_POSITIONS angstrom
La 0.000 2.788 0.000
La 2.788 0.000 0.000
Mn 0.000 0.000 2.052
P 0.000 0.000 0.000
Pt 2.788 2.788 2.052
! space-group type: No. 123
! mass density: 7.27 g cm⁻³
! calculated formation energy: -0.38 eV per atom
! E_tot: -6.4716 eV/atom